Entry 1:
Here is crystalline Ir2BrCl8 at its relaxed geometry from Alexandria via LeMat-Bulk. Energies are from PBE.

Calculated values
* symmetry: No. 12

Cell: 8.049 8.049 7.823 Å, 113.19 113.19 52.45°
Fractional positions:
Ir: 0.250 0.250 0.000
Ir: 0.750 0.750 0.000
Br: 0.000 0.000 0.500
Cl: 0.112 0.613 0.017
Cl: 0.188 0.188 0.669
Cl: 0.317 0.317 0.326
Cl: 0.387 0.888 0.983
Cl: 0.613 0.112 0.017
Cl: 0.683 0.683 0.674
Cl: 0.812 0.812 0.331
Cl: 0.888 0.387 0.983



Entry 2:
Here is crystalline Ir2Br3Cl4 at its relaxed geometry from Alexandria via LeMat-Bulk. Energies are from PBE.

Calculated values
* symmetry: No. 15

Cell: 8.836 8.836 6.656 Å, 107.75 107.75 83.31°
Fractional positions:
Ir: 0.055 0.301 0.356
Ir: 0.301 0.055 0.856
Ir: 0.699 0.945 0.144
Ir: 0.945 0.699 0.644
Br: 0.022 0.978 0.750
Br: 0.100 0.658 0.994
Br: 0.342 0.900 0.506
Br: 0.658 0.100 0.494
Br: 0.900 0.342 0.006
Br: 0.978 0.022 0.250
Cl: 0.150 0.569 0.486
Cl: 0.218 0.282 0.723
Cl: 0.282 0.218 0.223
Cl: 0.431 0.850 0.014
Cl: 0.569 0.150 0.986
Cl: 0.718 0.782 0.777
Cl: 0.782 0.718 0.277
Cl: 0.850 0.431 0.514



Entry 3:
Here is crystalline IrBrCl5 at its relaxed geometry from Alexandria via LeMat-Bulk. Energies are from PBE.

Calculated values
* symmetry: No. 15

Cell: 9.257 9.257 13.011 Å, 101.13 101.13 30.26°
Fractional positions:
Ir: 0.000 0.500 0.000
Ir: 0.500 0.000 0.500
Br: 0.028 0.972 0.250
Br: 0.972 0.028 0.750
Cl: 0.069 0.666 0.967
Cl: 0.199 0.236 0.358
Cl: 0.236 0.199 0.858
Cl: 0.334 0.931 0.533
Cl: 0.472 0.528 0.750
Cl: 0.528 0.472 0.250
Cl: 0.666 0.069 0.467
Cl: 0.764 0.801 0.142
Cl: 0.801 0.764 0.642
Cl: 0.931 0.334 0.033



Entry 4:
Here is crystalline Ir2BrCl at its relaxed geometry from Alexandria via LeMat-Bulk. Energies are from PBE.

Calculated values
* symmetry: No. 166

Cell: 3.058 3.058 24.633 Å, 90.00 90.00 120.00°
Fractional positions:
Ir: 0.000 0.000 0.249
Ir: 0.000 0.000 0.751
Ir: 0.333 0.667 0.418
Ir: 0.333 0.667 0.916
Ir: 0.667 0.333 0.084
Ir: 0.667 0.333 0.582
Br: 0.000 0.000 0.500
Br: 0.333 0.667 0.167
Br: 0.667 0.333 0.833
Cl: 0.000 0.000 0.000
Cl: 0.333 0.667 0.667
Cl: 0.667 0.333 0.333



Entry 5:
Here is crystalline Ir4BrCl at its relaxed geometry from Alexandria via LeMat-Bulk. Energies are from PBE.

Calculated values
* symmetry: No. 216

Cell: 5.367 5.367 5.367 Å, 60.00 60.00 60.00°
Fractional positions:
Ir: 0.125 0.125 0.125
Ir: 0.125 0.125 0.624
Ir: 0.125 0.624 0.125
Ir: 0.624 0.125 0.125
Br: 0.750 0.750 0.750
Cl: 0.500 0.500 0.500



Entry 6:
Here is crystalline Ir2BrCl at its relaxed geometry from Alexandria via LeMat-Bulk. Energies are from PBE.

Calculated values
* symmetry: No. 71

Cell: 2.888 5.392 8.682 Å, 90.00 90.00 90.00°
Fractional positions:
Ir: 0.000 0.000 0.247
Ir: 0.000 0.000 0.753
Ir: 0.500 0.500 0.253
Ir: 0.500 0.500 0.747
Br: 0.000 0.500 0.000
Br: 0.500 0.000 0.500
Cl: 0.000 0.500 0.500
Cl: 0.500 0.000 0.000



Entry 7:
Here is crystalline IrBrCl6 at its relaxed geometry from Alexandria via LeMat-Bulk. Energies are from PBE.

Calculated values
* symmetry: No. 15

Cell: 7.057 7.057 12.311 Å, 105.65 105.65 75.22°
Fractional positions:
Ir: 0.000 0.500 0.000
Ir: 0.500 0.000 0.500
Br: 0.016 0.984 0.250
Br: 0.984 0.016 0.750
Cl: 0.173 0.444 0.179
Cl: 0.189 0.195 0.916
Cl: 0.195 0.189 0.416
Cl: 0.240 0.664 0.997
Cl: 0.336 0.760 0.503
Cl: 0.444 0.173 0.679
Cl: 0.556 0.827 0.321
Cl: 0.664 0.240 0.497
Cl: 0.760 0.336 0.003
Cl: 0.805 0.811 0.584
Cl: 0.811 0.805 0.084
Cl: 0.827 0.556 0.821



Entry 8:
Here is crystalline IrBrCl3 at its relaxed geometry from Alexandria via LeMat-Bulk. Energies are from PBE.

Calculated values
* symmetry: No. 221

Cell: 4.808 4.808 4.808 Å, 90.00 90.00 90.00°
Fractional positions:
Ir: 0.000 0.000 0.000
Br: 0.500 0.500 0.500
Cl: 0.000 0.000 0.500
Cl: 0.000 0.500 0.000
Cl: 0.500 0.000 0.000



Entry 9:
Here is crystalline La8Ir3Br3Cl at its relaxed geometry from Alexandria via LeMat-Bulk. Energies are from PBE.

Calculated values
* symmetry: No. 166

Cell: 8.910 8.910 8.910 Å, 57.83 57.83 57.83°
Fractional positions:
La: 0.210 0.753 0.753
La: 0.234 0.234 0.234
La: 0.247 0.247 0.790
La: 0.247 0.790 0.247
La: 0.753 0.210 0.753
La: 0.753 0.753 0.210
La: 0.766 0.766 0.766
La: 0.790 0.247 0.247
Ir: 0.000 0.000 0.500
Ir: 0.000 0.500 0.000
Ir: 0.500 0.000 0.000
Br: 0.000 0.500 0.500
Br: 0.500 0.000 0.500
Br: 0.500 0.500 0.000
Cl: 0.500 0.500 0.500



Entry 10:
Here is crystalline La4IrBr2Cl at its relaxed geometry from Alexandria via LeMat-Bulk. Energies are from PBE.

Calculated values
* symmetry: No. 10

Cell: 7.425 4.144 7.945 Å, 90.00 108.14 90.00°
Fractional positions:
La: 0.220 0.000 0.210
La: 0.255 0.500 0.780
La: 0.745 0.500 0.220
La: 0.780 0.000 0.790
Ir: 0.000 0.500 0.000
Br: 0.000 0.000 0.500
Br: 0.500 0.500 0.500
Cl: 0.500 0.000 0.000



Entry 11:
Here is crystalline La6Ir3BrCl2 at its relaxed geometry from Alexandria via LeMat-Bulk. Energies are from PBE.

Calculated values
* symmetry: No. 12

Cell: 10.057 10.057 9.124 Å, 109.36 109.36 24.07°
Fractional positions:
La: 0.011 0.011 0.220
La: 0.322 0.322 0.445
La: 0.343 0.343 0.891
La: 0.657 0.657 0.109
La: 0.678 0.678 0.555
La: 0.989 0.989 0.780
Ir: 0.167 0.167 0.332
Ir: 0.500 0.500 0.000
Ir: 0.833 0.833 0.668
Br: 0.500 0.500 0.500
Cl: 0.167 0.167 0.834
Cl: 0.833 0.833 0.166



Entry 12:
Here is crystalline La6Ir2Br3Cl at its relaxed geometry from Alexandria via LeMat-Bulk. Energies are from PBE.

Calculated values
* symmetry: No. 12

Cell: 7.461 7.461 8.082 Å, 98.84 98.84 119.88°
Fractional positions:
La: 0.070 0.431 0.796
La: 0.206 0.206 0.201
La: 0.431 0.070 0.796
La: 0.569 0.930 0.204
La: 0.794 0.794 0.799
La: 0.930 0.569 0.204
Ir: 0.167 0.833 0.000
Ir: 0.833 0.167 0.000
Br: 0.000 0.000 0.500
Br: 0.342 0.658 0.500
Br: 0.658 0.342 0.500
Cl: 0.500 0.500 0.000



Entry 13:
Here is crystalline Nd8Ir3Br3Cl at its relaxed geometry from Alexandria via LeMat-Bulk. Energies are from PBE.

Calculated values
* symmetry: No. 166

Cell: 8.752 8.752 8.752 Å, 58.38 58.38 58.38°
Fractional positions:
Nd: 0.206 0.757 0.757
Nd: 0.233 0.233 0.233
Nd: 0.243 0.243 0.794
Nd: 0.243 0.794 0.243
Nd: 0.757 0.206 0.757
Nd: 0.757 0.757 0.206
Nd: 0.767 0.767 0.767
Nd: 0.794 0.243 0.243
Ir: 0.000 0.000 0.500
Ir: 0.000 0.500 0.000
Ir: 0.500 0.000 0.000
Br: 0.000 0.500 0.500
Br: 0.500 0.000 0.500
Br: 0.500 0.500 0.000
Cl: 0.500 0.500 0.500



Entry 14:
Here is crystalline PIrBrCl2 at its relaxed geometry from Alexandria via LeMat-Bulk. Energies are from PBE.

Calculated values
* symmetry: No. 123

Cell: 5.208 5.208 4.886 Å, 90.00 90.00 90.00°
Fractional positions:
P: 0.000 0.000 0.000
Ir: 0.500 0.500 0.000
Br: 0.500 0.500 0.500
Cl: 0.000 0.500 0.500
Cl: 0.500 0.000 0.500



Entry 15:
Here is crystalline PIrBrCl2 at its relaxed geometry from Alexandria via LeMat-Bulk. Energies are from PBE.

Calculated values
* symmetry: No. 123

Cell: 4.863 4.863 4.599 Å, 90.00 90.00 90.00°
Fractional positions:
P: 0.000 0.000 0.000
Ir: 0.000 0.000 0.500
Br: 0.500 0.500 0.000
Cl: 0.000 0.500 0.500
Cl: 0.500 0.000 0.500



Entry 16:
Here is crystalline PIrBrCl2 at its relaxed geometry from Alexandria via LeMat-Bulk. Energies are from PBE.

Calculated values
* symmetry: No. 123

Cell: 4.931 4.931 5.247 Å, 90.00 90.00 90.00°
Fractional positions:
P: 0.000 0.000 0.000
Ir: 0.500 0.500 0.000
Br: 0.000 0.000 0.500
Cl: 0.000 0.500 0.500
Cl: 0.500 0.000 0.500



Entry 17:
Here is crystalline IrPb2BrCl at its relaxed geometry from Alexandria via LeMat-Bulk. Energies are from PBE.

Calculated values
* symmetry: No. 123

Cell: 5.815 5.815 4.358 Å, 90.00 90.00 90.00°
Fractional positions:
Ir: 0.000 0.000 0.000
Pb: 0.000 0.500 0.500
Pb: 0.500 0.000 0.500
Br: 0.500 0.500 0.000
Cl: 0.000 0.000 0.500



Entry 18:
Here is crystalline IrPd2BrCl at its relaxed geometry from Alexandria via LeMat-Bulk. Energies are from PBE.

Calculated values
* symmetry: No. 123

Cell: 5.035 5.035 4.769 Å, 90.00 90.00 90.00°
Fractional positions:
Ir: 0.000 0.000 0.000
Pd: 0.000 0.500 0.000
Pd: 0.500 0.000 0.000
Br: 0.000 0.000 0.500
Cl: 0.500 0.500 0.500



Entry 19:
Here is crystalline Pm8Ir3Br4Cl at its relaxed geometry from Alexandria via LeMat-Bulk. Energies are from PBE.

Calculated values
* symmetry: No. 166

Cell: 9.058 9.058 9.058 Å, 55.24 55.24 55.24°
Fractional positions:
Pm: 0.209 0.745 0.745
Pm: 0.231 0.231 0.231
Pm: 0.255 0.255 0.791
Pm: 0.255 0.791 0.255
Pm: 0.745 0.209 0.745
Pm: 0.745 0.745 0.209
Pm: 0.769 0.769 0.769
Pm: 0.791 0.255 0.255
Ir: 0.000 0.000 0.500
Ir: 0.000 0.500 0.000
Ir: 0.500 0.000 0.000
Br: 0.000 0.000 0.000
Br: 0.000 0.500 0.500
Br: 0.500 0.000 0.500
Br: 0.500 0.500 0.000
Cl: 0.500 0.500 0.500



Entry 20:
Here is crystalline Pr4IrBr2Cl at its relaxed geometry from Alexandria via LeMat-Bulk. Energies are from PBE.

Calculated values
* symmetry: No. 10

Cell: 7.440 4.150 8.012 Å, 90.00 107.99 90.00°
Fractional positions:
Pr: 0.213 0.000 0.207
Pr: 0.251 0.500 0.792
Pr: 0.749 0.500 0.208
Pr: 0.787 0.000 0.793
Ir: 0.000 0.500 0.000
Br: 0.000 0.000 0.500
Br: 0.500 0.500 0.500
Cl: 0.500 0.000 0.000



Entry 21:
Here is crystalline Pr6Ir2BrCl3 at its relaxed geometry from Alexandria via LeMat-Bulk. Energies are from PBE.

Calculated values
* symmetry: No. 12

Cell: 10.364 10.364 8.390 Å, 98.32 98.32 22.89°
Fractional positions:
Pr: 0.034 0.034 0.279
Pr: 0.320 0.320 0.440
Pr: 0.327 0.327 0.912
Pr: 0.673 0.673 0.088
Pr: 0.680 0.680 0.560
Pr: 0.966 0.966 0.721
Ir: 0.176 0.176 0.319
Ir: 0.824 0.824 0.681
Br: 0.500 0.500 0.000
Cl: 0.119 0.119 0.797
Cl: 0.500 0.500 0.500
Cl: 0.881 0.881 0.203



Entry 22:
Here is crystalline Pr6Ir3BrCl2 at its relaxed geometry from Alexandria via LeMat-Bulk. Energies are from PBE.

Calculated values
* symmetry: No. 12

Cell: 9.984 9.984 9.073 Å, 109.33 109.33 24.16°
Fractional positions:
Pr: 0.010 0.010 0.220
Pr: 0.322 0.322 0.445
Pr: 0.343 0.343 0.891
Pr: 0.657 0.657 0.109
Pr: 0.678 0.678 0.555
Pr: 0.990 0.990 0.780
Ir: 0.166 0.166 0.331
Ir: 0.500 0.500 0.000
Ir: 0.834 0.834 0.669
Br: 0.500 0.500 0.500
Cl: 0.167 0.167 0.834
Cl: 0.833 0.833 0.166



Entry 23:
Here is crystalline Rb2IrBrCl5 at its relaxed geometry from Alexandria via LeMat-Bulk. Energies are from PBE.

Calculated values
* symmetry: No. 107

Cell: 7.243 7.243 7.243 Å, 119.35 119.35 91.12°
Fractional positions:
Rb: 0.000 0.500 0.500
Rb: 0.500 0.000 0.500
Ir: 0.249 0.249 0.000
Br: 0.004 0.004 0.000
Cl: 0.023 0.023 0.546
Cl: 0.023 0.477 0.000
Cl: 0.477 0.023 0.000
Cl: 0.477 0.477 0.454
Cl: 0.481 0.481 0.000



How do the records compare in total moment? In the order shown, they have 1.0 0.0 5.4 0.0 4.8 0.0 4.1 0.7 0.0 0.0 0.0 0.0 0.0 0.8 0.0 1.9 0.0 1.1 0.0 0.0 0.0 0.0 1.1 μB/cell.
How do the records compare in energy relative to the elements, uncorrected? In the order shown, they have -33.5 -26.9 -6.4 102.1 132.1 94.4 -22.1 21.4 -109.6 -125.7 -125.9 -125.6 -97.5 150.2 28.3 165.6 48.9 80.7 -109.0 -111.3 -115.0 -110.9 -110.8 kJ/mol of atoms.